Here is a crystal of CaIn2Hg relaxed with PBEsol from Alexandria via LeMat-Bulk. Energies are from SCAN.

* magnetization: 0.00 Bohr magnetons per cell
* space-group type: P4/mmm
* D(E_F): 1.441 states/eV/cell
* E_form: -419 meV per atom

Unit cell a=4.532 b=4.532 c=4.691 alpha=90.00 beta=90.00 gamma=90.00
Element x y z (fractional)
Ca: 0.000 0.000 0.000
In: 0.000 0.500 0.500
In: 0.500 0.000 0.500
Hg: 0.500 0.500 0.000

Here is a crystal of CaIn2Hg relaxed with PBEsol from Alexandria via LeMat-Bulk. Energies are from SCAN.

* magnetization: 0.00 Bohr magnetons per cell
* space-group type: Cm
* D(E_F): 3.366 states/eV/cell
* E_form: -342 meV per atom

Unit cell a=10.239 b=3.578 c=5.619 alpha=90.00 beta=102.08 gamma=90.00
Element x y z (fractional)
Ca: 0.000 0.000 0.000
Ca: 0.500 0.500 0.000
In: 0.008 0.500 0.512
In: 0.260 0.500 0.283
In: 0.508 0.000 0.512
In: 0.760 0.000 0.283
Hg: 0.253 0.000 0.768
Hg: 0.753 0.500 0.768

Here is a crystal of CaInHg2 relaxed with PBEsol from Alexandria via LeMat-Bulk. Energies are from SCAN.

* magnetization: 0.00 Bohr magnetons per cell
* space-group type: P4/mmm
* D(E_F): 1.872 states/eV/cell
* E_form: -439 meV per atom

Unit cell a=4.756 b=4.756 c=4.219 alpha=90.00 beta=90.00 gamma=90.00
Element x y z (fractional)
Ca: 0.000 0.000 0.000
In: 0.500 0.500 0.000
Hg: 0.000 0.500 0.500
Hg: 0.500 0.000 0.500

Here is a crystal of Ca3InHg relaxed with PBEsol from Alexandria via LeMat-Bulk. Energies are from SCAN.

* magnetization: 0.01 Bohr magnetons per cell
* space-group type: Pm-3m
* D(E_F): 4.237 states/eV/cell
* E_form: -55 meV per atom

Unit cell a=5.889 b=5.889 c=5.889 alpha=90.00 beta=90.00 gamma=90.00
Element x y z (fractional)
Ca: 0.000 0.000 0.500
Ca: 0.000 0.500 0.000
Ca: 0.500 0.000 0.000
In: 0.000 0.000 0.000
Hg: 0.500 0.500 0.500

Here is a crystal of CaIn2Hg relaxed with PBEsol from Alexandria via LeMat-Bulk. Energies are from SCAN.

* magnetization: 0.00 Bohr magnetons per cell
* space-group type: Immm
* D(E_F): 4.015 states/eV/cell
* E_form: -370 meV per atom

Unit cell a=4.256 b=4.609 c=10.204 alpha=90.00 beta=90.00 gamma=90.00
Element x y z (fractional)
Ca: 0.000 0.000 0.000
Ca: 0.500 0.500 0.500
In: 0.000 0.500 0.243
In: 0.000 0.500 0.757
In: 0.500 0.000 0.257
In: 0.500 0.000 0.743
Hg: 0.000 0.000 0.500
Hg: 0.500 0.500 0.000

Here is a crystal of CaIn2Hg relaxed with PBEsol from Alexandria via LeMat-Bulk. Energies are from SCAN.

* magnetization: 0.00 Bohr magnetons per cell
* space-group type: R-3m
* D(E_F): 5.755 states/eV/cell
* E_form: -147 meV per atom

Unit cell a=3.603 b=3.603 c=28.180 alpha=90.00 beta=90.00 gamma=120.00
Element x y z (fractional)
Ca: 0.000 0.000 0.000
Ca: 0.333 0.667 0.667
Ca: 0.667 0.333 0.333
In: 0.000 0.000 0.243
In: 0.000 0.000 0.757
In: 0.333 0.667 0.423
In: 0.333 0.667 0.910
In: 0.667 0.333 0.090
In: 0.667 0.333 0.577
Hg: 0.000 0.000 0.500
Hg: 0.333 0.667 0.167
Hg: 0.667 0.333 0.833

Here is a crystal of CaIn2Hg relaxed with PBEsol from Alexandria via LeMat-Bulk. Energies are from SCAN.

* magnetization: 0.00 Bohr magnetons per cell
* space-group type: F-43m
* D(E_F): 3.652 states/eV/cell
* E_form: -397 meV per atom

Unit cell a=7.309 b=7.309 c=7.309 alpha=90.00 beta=90.00 gamma=90.00
Element x y z (fractional)
Ca: 0.000 0.000 0.000
Ca: 0.000 0.500 0.500
Ca: 0.500 0.000 0.500
Ca: 0.500 0.500 0.000
In: 0.000 0.000 0.500
In: 0.000 0.500 0.000
In: 0.250 0.250 0.250
In: 0.250 0.750 0.750
In: 0.500 0.000 0.000
In: 0.500 0.500 0.500
In: 0.750 0.250 0.750
In: 0.750 0.750 0.250
Hg: 0.250 0.250 0.750
Hg: 0.250 0.750 0.250
Hg: 0.750 0.250 0.250
Hg: 0.750 0.750 0.750

Here is a crystal of Ca2InHgP relaxed with PBEsol from Alexandria via LeMat-Bulk. Energies are from SCAN.

* magnetization: 0.00 Bohr magnetons per cell
* space-group type: P4/mmm
* D(E_F): 2.478 states/eV/cell
* E_form: -465 meV per atom

Unit cell a=5.353 b=5.353 c=5.066 alpha=90.00 beta=90.00 gamma=90.00
Element x y z (fractional)
Ca: 0.000 0.500 0.000
Ca: 0.500 0.000 0.000
In: 0.000 0.000 0.500
Hg: 0.500 0.500 0.500
P: 0.000 0.000 0.000

Here is a crystal of CaHg4Ir relaxed with PBEsol from Alexandria via LeMat-Bulk. Energies are from SCAN.

* magnetization: 0.00 Bohr magnetons per cell
* space-group type: F-43m
* D(E_F): 4.025 states/eV/cell
* E_form: 227 meV per atom

Unit cell a=5.613 b=5.613 c=5.613 alpha=60.00 beta=60.00 gamma=60.00
Element x y z (fractional)
Ca: 0.000 0.000 0.000
Hg: 0.376 0.376 0.376
Hg: 0.376 0.376 0.873
Hg: 0.376 0.873 0.376
Hg: 0.873 0.376 0.376
Ir: 0.750 0.750 0.750

Here is a crystal of Ca2HgIr relaxed with PBEsol from Alexandria via LeMat-Bulk. Energies are from SCAN.

* magnetization: 0.00 Bohr magnetons per cell
* space-group type: Imm2
* D(E_F): 3.516 states/eV/cell
* E_form: -328 meV per atom

Unit cell a=3.318 b=4.939 c=11.329 alpha=90.00 beta=90.00 gamma=90.00
Element x y z (fractional)
Ca: 0.000 0.000 0.000
Ca: 0.000 0.500 0.194
Ca: 0.500 0.000 0.694
Ca: 0.500 0.500 0.500
Hg: 0.000 0.500 0.787
Hg: 0.500 0.000 0.287
Ir: 0.000 0.000 0.483
Ir: 0.500 0.500 0.983

Here is a crystal of CaHg2Ir relaxed with PBEsol from Alexandria via LeMat-Bulk. Energies are from SCAN.

* magnetization: 0.00 Bohr magnetons per cell
* space-group type: P2/m
* D(E_F): 1.235 states/eV/cell
* E_form: -53 meV per atom

Unit cell a=3.134 b=4.103 c=6.069 alpha=90.00 beta=90.16 gamma=90.00
Element x y z (fractional)
Ca: 0.000 0.000 0.000
Hg: 0.498 0.500 0.729
Hg: 0.502 0.500 0.271
Ir: 0.000 0.000 0.500

Here is a crystal of CaHg2Ir relaxed with PBEsol from Alexandria via LeMat-Bulk. Energies are from SCAN.

* magnetization: 0.00 Bohr magnetons per cell
* space-group type: I4/mmm
* D(E_F): 3.143 states/eV/cell
* E_form: -135 meV per atom

Unit cell a=4.280 b=4.280 c=8.420 alpha=90.00 beta=90.00 gamma=90.00
Element x y z (fractional)
Ca: 0.000 0.000 0.000
Ca: 0.500 0.500 0.500
Hg: 0.000 0.500 0.250
Hg: 0.000 0.500 0.750
Hg: 0.500 0.000 0.250
Hg: 0.500 0.000 0.750
Ir: 0.000 0.000 0.500
Ir: 0.500 0.500 0.000

Here is a crystal of Ca2HgIr relaxed with PBEsol from Alexandria via LeMat-Bulk. Energies are from SCAN.

* magnetization: 0.00 Bohr magnetons per cell
* space-group type: P4/mmm
* D(E_F): 2.327 states/eV/cell
* E_form: -391 meV per atom

Unit cell a=4.963 b=4.963 c=3.521 alpha=90.00 beta=90.00 gamma=90.00
Element x y z (fractional)
Ca: 0.000 0.500 0.000
Ca: 0.500 0.000 0.000
Hg: 0.000 0.000 0.500
Ir: 0.500 0.500 0.500

Here is a crystal of CaHg2Ir relaxed with PBEsol from Alexandria via LeMat-Bulk. Energies are from SCAN.

* magnetization: 0.00 Bohr magnetons per cell
* space-group type: P4/mmm
* D(E_F): 1.749 states/eV/cell
* E_form: -56 meV per atom

Unit cell a=4.253 b=4.253 c=4.287 alpha=90.00 beta=90.00 gamma=90.00
Element x y z (fractional)
Ca: 0.000 0.000 0.000
Hg: 0.000 0.500 0.500
Hg: 0.500 0.000 0.500
Ir: 0.500 0.500 0.000

Here is a crystal of CaHg3Ir relaxed with PBEsol from Alexandria via LeMat-Bulk. Energies are from SCAN.

* magnetization: 1.77 Bohr magnetons per cell
* space-group type: Pm-3m
* D(E_F): 2.683 states/eV/cell
* E_form: 1284 meV per atom

Unit cell a=5.431 b=5.431 c=5.431 alpha=90.00 beta=90.00 gamma=90.00
Element x y z (fractional)
Ca: 0.000 0.000 0.000
Hg: 0.000 0.000 0.500
Hg: 0.000 0.500 0.000
Hg: 0.500 0.000 0.000
Ir: 0.500 0.500 0.500

Here is a crystal of KCa2Hg relaxed with PBEsol from Alexandria via LeMat-Bulk. Energies are from SCAN.

* magnetization: 0.02 Bohr magnetons per cell
* space-group type: P4/mmm
* D(E_F): 2.701 states/eV/cell
* E_form: -317 meV per atom

Unit cell a=3.793 b=3.793 c=10.420 alpha=90.00 beta=90.00 gamma=90.00
Element x y z (fractional)
K: 0.000 0.000 0.000
Ca: 0.500 0.500 0.332
Ca: 0.500 0.500 0.668
Hg: 0.000 0.000 0.500

Here is a crystal of KCa2Hg relaxed with PBEsol from Alexandria via LeMat-Bulk. Energies are from SCAN.

* magnetization: 0.00 Bohr magnetons per cell
* space-group type: F-43m
* D(E_F): 23.823 states/eV/cell
* E_form: 27 meV per atom

Unit cell a=8.193 b=8.193 c=8.193 alpha=90.00 beta=90.00 gamma=90.00
Element x y z (fractional)
K: 0.000 0.000 0.000
K: 0.000 0.500 0.500
K: 0.500 0.000 0.500
K: 0.500 0.500 0.000
Ca: 0.000 0.000 0.500
Ca: 0.000 0.500 0.000
Ca: 0.250 0.250 0.750
Ca: 0.250 0.750 0.250
Ca: 0.500 0.000 0.000
Ca: 0.500 0.500 0.500
Ca: 0.750 0.250 0.250
Ca: 0.750 0.750 0.750
Hg: 0.250 0.250 0.250
Hg: 0.250 0.750 0.750
Hg: 0.750 0.250 0.750
Hg: 0.750 0.750 0.250

Here is a crystal of K2CaHg relaxed with PBEsol from Alexandria via LeMat-Bulk. Energies are from SCAN.

* magnetization: 0.23 Bohr magnetons per cell
* space-group type: C2/m
* D(E_F): 6.020 states/eV/cell
* E_form: 50 meV per atom

Unit cell a=6.966 b=11.693 c=4.072 alpha=90.00 beta=91.43 gamma=90.00
Element x y z (fractional)
K: 0.250 0.250 0.000
K: 0.250 0.750 0.000
K: 0.750 0.250 0.000
K: 0.750 0.750 0.000
Ca: 0.000 0.000 0.500
Ca: 0.500 0.500 0.500
Hg: 0.000 0.500 0.500
Hg: 0.500 0.000 0.500

Here is a crystal of KCa2HgPd relaxed with PBEsol from Alexandria via LeMat-Bulk. Energies are from SCAN.

* magnetization: 0.00 Bohr magnetons per cell
* space-group type: P4/mmm
* D(E_F): 2.531 states/eV/cell
* E_form: -192 meV per atom

Unit cell a=5.451 b=5.451 c=5.948 alpha=90.00 beta=90.00 gamma=90.00
Element x y z (fractional)
K: 0.000 0.000 0.000
Ca: 0.000 0.500 0.500
Ca: 0.500 0.000 0.500
Hg: 0.500 0.500 0.000
Pd: 0.000 0.000 0.500

Here is a crystal of CaLa2Hg2 relaxed with PBEsol from Alexandria via LeMat-Bulk. Energies are from SCAN.

* magnetization: 0.00 Bohr magnetons per cell
* space-group type: P4/mbm
* D(E_F): 8.111 states/eV/cell
* E_form: -621 meV per atom

Unit cell a=8.784 b=8.784 c=3.907 alpha=90.00 beta=90.00 gamma=90.00
Element x y z (fractional)
Ca: 0.000 0.000 0.000
Ca: 0.500 0.500 0.000
La: 0.165 0.335 0.500
La: 0.335 0.835 0.500
La: 0.665 0.165 0.500
La: 0.835 0.665 0.500
Hg: 0.131 0.631 0.000
Hg: 0.369 0.131 0.000
Hg: 0.631 0.869 0.000
Hg: 0.869 0.369 0.000